VASP calculation (PBE) on a geometry-optimized PmDy3Ho5 structure.

Values from the calculation:
Space-group type = C2/m, No. 12
Calculated formation energy = 0.4190 eV/atom
Excess energy over the best structure of this formula in the dataset = 95 meV per atom
Raw total energy = -75.35 eV per cell
Spin magnetization = 0.0 μB per formula unit

a = 9.2660 Å, b = 9.2660 Å, c = 12.2138 Å
α = 126.11°, β = 126.11°, γ = 50.85°
Positions (direct):
Pm 0.2360 0.2360 0.1288
Pm 0.7640 0.7640 0.8712
Dy 0.0000 0.0000 0.0000
Dy 0.1750 0.1750 0.3412
Dy 0.3806 0.3806 0.6864
Dy 0.5000 0.5000 0.5000
Dy 0.6194 0.6194 0.3136
Dy 0.8250 0.8250 0.6588
Ho 0.1235 0.1235 0.5661
Ho 0.1411 0.7304 0.2199
Ho 0.2696 0.8589 0.7801
Ho 0.2993 0.2993 0.9291
Ho 0.3202 0.6798 0.0000
Ho 0.6798 0.3202 0.0000
Ho 0.7007 0.7007 0.0709
Ho 0.7304 0.1411 0.2199
Ho 0.8589 0.2696 0.7801
Ho 0.8765 0.8765 0.4339